# Ce2Sb3Ru (PBE-GGA, optimized geometry)
# Total DFT energy (no corrections) in eV for the cell shown: -73.14
data_Ce2Sb3Ru
_chemical_formula_sum 'Ce4 Sb6 Ru2'
_cell_length_a 4.435
_cell_length_b 6.239
_cell_length_c 11.729
_cell_angle_alpha 90.00
_cell_angle_beta 90.00
_cell_angle_gamma 90.00
_symmetry_space_group_name_H-M 'I m m m'
_symmetry_Int_Tables_number 71
_symmetry_space_group_name_Hall '-I 2 2'
loop_
_atom_site_label
_atom_site_type_symbol
_atom_site_fract_x
_atom_site_fract_y
_atom_site_fract_z
Ce1 Ce 0.000 0.000 0.184
Sb1 Sb 0.000 0.500 0.134
Sb2 Sb 0.000 0.500 0.500
Ru1 Ru 0.000 0.000 0.500